[1]
Pm2NiGe4Pd3, optimized geometry, DFT PBE-GGA; ΔH_f (0 K) = -0.760 eV/atom; electronic total energy = -5.693 eV/atom; symmetry = P-4m2, No. 115
1.0
4.2831 0.0000 0.0000
0.0000 4.2831 0.0000
0.0000 0.0000 10.2178
Pm Ni Ge Pd
2 1 4 3
Direct
0.0000 0.5000 0.2445
0.5000 0.0000 0.7555
0.5000 0.5000 0.0000
0.0000 0.0000 0.5000
0.0000 0.5000 0.8770
0.5000 0.0000 0.1230
0.5000 0.5000 0.5000
0.0000 0.0000 0.0000
0.0000 0.5000 0.6348
0.5000 0.0000 0.3652

---

[2]
Ca2LaRhO, optimized geometry, DFT PBE-GGA; uncorrected formation energy = -1.33 eV/atom; electronic total energy = -5.574 eV/atom; symmetry = P4/mmm, No. 123
1.0
4.4991 0.0000 0.0000
0.0000 4.4991 0.0000
0.0000 0.0000 5.4006
Ca La Rh O
2 1 1 1
Direct
0.0000 0.5000 0.0000
0.5000 0.0000 0.0000
0.0000 0.0000 0.5000
0.5000 0.5000 0.5000
0.0000 0.0000 0.0000

---

[3]
BeAg2Pt, optimized geometry, DFT PBE-GGA; ΔH_f (0 K) = -0.238 eV/atom; electronic total energy = -4.105 eV/atom; symmetry = Pm, No. 6
1.0
2.8670 0.0000 0.0000
0.0000 2.8592 0.0000
-0.0223 0.0000 7.2381
Be Ag Pt
1 2 1
Direct
0.0000 0.0000 0.0000
0.0019 0.0000 0.5404
0.5038 0.5000 0.2431
0.4983 0.5000 0.8393

---

[4]
Er4TlNi2, optimized geometry, DFT PBE-GGA; ΔH_f (0 K) = -0.196 eV/atom; electronic total energy = -4.794 eV/atom; symmetry = R-3m, No. 166
1.0
2.3396 1.3508 9.1322
-2.3396 1.3508 9.1322
0.0000 -2.7015 9.1322
Er Tl Ni
4 1 2
Direct
0.1102 0.1102 0.1102
0.2984 0.2984 0.2984
0.7016 0.7016 0.7016
0.8898 0.8898 0.8898
0.5000 0.5000 0.5000
0.4004 0.4004 0.4004
0.5996 0.5996 0.5996

---

[5]
In2SnPt2, optimized geometry, DFT PBE-GGA; ΔH_f (0 K) = -0.337 eV/atom; electronic total energy = -4.649 eV/atom; symmetry = P4/mbm, No. 127
1.0
8.1077 0.0000 0.0000
0.0000 8.1077 0.0000
0.0000 0.0000 3.0700
In Sn Pt
4 2 4
Direct
0.1442 0.3558 0.0000
0.3558 0.8558 0.0000
0.6442 0.1442 0.0000
0.8558 0.6442 0.0000
0.0000 0.0000 0.5000
0.5000 0.5000 0.5000
0.1530 0.6530 0.5000
0.3470 0.1530 0.5000
0.6530 0.8470 0.5000
0.8470 0.3470 0.5000

---

[6]
Be2Hg3, optimized geometry, DFT PBE-GGA; ΔH_f (0 K) = 0.414 eV/atom; electronic total energy = -1.258 eV/atom; symmetry = I-42d, No. 122
1.0
-4.3266 4.3266 2.3908
4.3266 -4.3266 2.3908
4.3266 4.3266 -2.3908
Be Hg
4 6
Direct
0.0534 0.6250 0.9284
0.3750 0.3034 0.4284
0.6966 0.1250 0.0716
0.8750 0.9466 0.5716
0.0000 0.0000 0.0000
0.3441 0.6250 0.2191
0.3750 0.5941 0.7191
0.4059 0.1250 0.7809
0.7500 0.2500 0.5000
0.8750 0.6559 0.2809

---

[7]
Ac4TePI2, optimized geometry, DFT PBE-GGA; uncorrected formation energy = -1.23 eV/atom; electronic total energy = -4.741 eV/atom; symmetry = P2/m, No. 10
1.0
8.1042 0.0000 0.0000
0.0000 4.4831 0.0000
-2.5207 0.0000 8.0959
Ac Te P I
4 1 1 2
Direct
0.2086 0.0000 0.2032
0.2291 0.5000 0.7848
0.7709 0.5000 0.2152
0.7914 0.0000 0.7968
0.5000 0.0000 0.0000
0.0000 0.5000 0.0000
0.0000 0.0000 0.5000
0.5000 0.5000 0.5000

---

[8]
Tl2TcMo, optimized geometry, DFT PBE-GGA; ΔH_f (0 K) = 0.386 eV/atom; electronic total energy = -6.096 eV/atom; symmetry = P4mm, No. 99
1.0
3.1190 0.0000 0.0000
0.0000 3.1190 0.0000
0.0000 0.0000 8.6745
Tl Tc Mo
2 1 1
Direct
0.0000 0.0000 0.0000
0.5000 0.5000 0.3360
0.5000 0.5000 0.7474
0.0000 0.0000 0.5925

---

[9]
Ti2SbBrCl, optimized geometry, DFT PBE-GGA; uncorrected formation energy = 0.43 eV/atom; electronic total energy = -4.255 eV/atom; symmetry = P4/mmm, No. 123
1.0
5.4274 0.0000 0.0000
0.0000 5.4274 0.0000
0.0000 0.0000 5.5445
Ti Sb Br Cl
2 1 1 1
Direct
0.0000 0.5000 0.0000
0.5000 0.0000 0.0000
0.0000 0.0000 0.0000
0.0000 0.0000 0.5000
0.5000 0.5000 0.5000

---

[10]
Tl12Sn2Pb5, optimized geometry, DFT PBE-GGA; ΔH_f (0 K) = 0.036 eV/atom; electronic total energy = -2.855 eV/atom; symmetry = C2/m, No. 12
1.0
10.5520 -5.3936 0.0000
10.5520 5.3936 0.0000
-1.3804 0.0000 5.2315
Tl Sn Pb
12 2 5
Direct
0.0448 0.5599 0.8038
0.0870 0.0870 0.0838
0.1380 0.6790 0.4091
0.3210 0.8620 0.5909
0.4034 0.4034 0.9013
0.4401 0.9552 0.1962
0.5599 0.0448 0.8038
0.5966 0.5966 0.0987
0.6790 0.1380 0.4091
0.8620 0.3210 0.5909
0.9130 0.9130 0.9162
0.9552 0.4401 0.1962
0.2535 0.7465 0.0000
0.7465 0.2535 0.0000
0.2022 0.2022 0.7015
0.3096 0.3096 0.3067
0.5000 0.5000 0.5000
0.6904 0.6904 0.6933
0.7978 0.7978 0.2985

---

[11]
PrSm6Y2Ho3, optimized geometry, DFT PBE-GGA; ΔH_f (0 K) = 0.015 eV/atom; electronic total energy = -4.965 eV/atom; symmetry = C2/m, No. 12
1.0
3.1212 -5.4035 0.0000
3.1212 5.4035 0.0000
-2.0730 0.0000 11.7283
Pr Sm Y Ho
1 6 2 3
Direct
0.0000 0.0000 0.0000
0.0848 0.4184 0.2531
0.2489 0.2489 0.7470
0.4184 0.0848 0.2531
0.5816 0.9152 0.7469
0.7511 0.7511 0.2530
0.9152 0.5816 0.7469
0.3334 0.6666 0.0000
0.6666 0.3334 0.0000
0.1670 0.8330 0.5000
0.5000 0.5000 0.5000
0.8330 0.1670 0.5000

---

[12]
GaFe3Ru, optimized geometry, DFT PBE-GGA; ΔH_f (0 K) = 1.309 eV/atom; electronic total energy = -6.229 eV/atom; symmetry = Pm-3m, No. 221
1.0
4.4834 0.0000 0.0000
0.0000 4.4834 0.0000
0.0000 0.0000 4.4834
Ga Fe Ru
1 3 1
Direct
0.0000 0.0000 0.0000
0.0000 0.0000 0.5000
0.0000 0.5000 0.0000
0.5000 0.0000 0.0000
0.5000 0.5000 0.5000

---

Copy entry 10 word for word.
Tl12Sn2Pb5, optimized geometry, DFT PBE-GGA; ΔH_f (0 K) = 0.036 eV/atom; electronic total energy = -2.855 eV/atom; symmetry = C2/m, No. 12
1.0
10.5520 -5.3936 0.0000
10.5520 5.3936 0.0000
-1.3804 0.0000 5.2315
Tl Sn Pb
12 2 5
Direct
0.0448 0.5599 0.8038
0.0870 0.0870 0.0838
0.1380 0.6790 0.4091
0.3210 0.8620 0.5909
0.4034 0.4034 0.9013
0.4401 0.9552 0.1962
0.5599 0.0448 0.8038
0.5966 0.5966 0.0987
0.6790 0.1380 0.4091
0.8620 0.3210 0.5909
0.9130 0.9130 0.9162
0.9552 0.4401 0.1962
0.2535 0.7465 0.0000
0.7465 0.2535 0.0000
0.2022 0.2022 0.7015
0.3096 0.3096 0.3067
0.5000 0.5000 0.5000
0.6904 0.6904 0.6933
0.7978 0.7978 0.2985

---

Q: The highest electronic total energy belongs to which entry?
A: Be2Hg3